[1]
Here is crystalline Cu2C at its relaxed geometry from the Alexandria database. Energies are from PBE.

Cell: 4.266 4.266 4.266 Å, 109.12 109.12 110.18°
Positions (direct):
Cu 0.197 0.303 0.500
Cu 0.803 0.697 0.500
Cu 0.697 0.197 0.895
Cu 0.303 0.803 0.105
C 0.750 0.750 0.000
C 0.250 0.250 0.000

## Properties
The calculation puts the density of states at the Fermi level at 0.86 states/eV/f.u. As for the space group: No. 140. Its energy above the lowest structure with this stoichiometry is 0.96 eV per formula unit. The value obtained for the mass density is 7.73 g/cm3. Its total energy is -0.3543 Ry per atom.

=====

[2]
Here is crystalline CuC2 at its relaxed geometry from the Alexandria database. Energies are from PBE.

Cell: 2.918 2.918 3.891 Å, 90.00 90.00 120.00°
Positions (direct):
C 0.000 0.000 0.832
C 0.000 0.000 0.168
Cu 0.333 0.667 0.500

## Properties
The calculation puts the density of states at the Fermi level at 1.63 states/eV/f.u. As for the space group: No. 187. Its energy above the lowest structure with this stoichiometry is 4.15 eV per formula unit. The value obtained for the mass density is 5.07 g/cm3. Its total energy is -0.4335 Ry per atom.

=====

[3]
Here is crystalline CuC2 at its relaxed geometry from the Alexandria database. Energies are from PBE.

Cell: 2.462 2.462 7.434 Å, 90.00 90.00 120.00°
Positions (direct):
C 0.667 0.333 0.500
C 0.333 0.667 0.500
Cu 0.000 0.000 0.000

## Properties
The calculation puts the density of states at the Fermi level at 1.13 states/eV/f.u. As for the space group: No. 191. Its energy above the lowest structure with this stoichiometry is 0.00 eV per formula unit. The value obtained for the mass density is 3.73 g/cm3. Its total energy is -0.5351 Ry per atom.

=====

[4]
Here is crystalline Cu2C at its relaxed geometry from the Alexandria database. Energies are from PBE.

Cell: 4.522 4.522 4.522 Å, 38.20 38.20 38.20°
Positions (direct):
C 0.000 0.000 0.000
Cu 0.246 0.246 0.246
Cu 0.754 0.754 0.754

## Properties
The calculation puts the density of states at the Fermi level at 0.92 states/eV/f.u. As for the space group: No. 166. Its energy above the lowest structure with this stoichiometry is 1.07 eV per formula unit. The value obtained for the mass density is 7.27 g/cm3. Its total energy is -0.3517 Ry per atom.

=====

[5]
Here is crystalline Cu6C7 at its relaxed geometry from the Alexandria database. Energies are from PBE.

Cell: 8.700 8.700 8.700 Å, 30.38 30.38 30.38°
Positions (direct):
C 0.553 0.229 0.553
C 0.553 0.553 0.229
C 0.229 0.553 0.553
C 0.447 0.771 0.447
C 0.771 0.447 0.447
C 0.447 0.447 0.771
C 0.500 0.500 0.500
Cu 0.047 0.047 0.047
Cu 0.953 0.953 0.953
Cu 0.246 0.246 0.246
Cu 0.754 0.754 0.754
Cu 0.345 0.345 0.345
Cu 0.655 0.655 0.655

## Properties
The calculation puts the density of states at the Fermi level at 3.25 states/eV/f.u. As for the space group: No. 166. The value obtained for the mass density is 5.18 g/cm3. Its total energy is -0.4017 Ry per atom.

=====

[6]
Here is crystalline CuC2 at its relaxed geometry from the Alexandria database. Energies are from PBE.

Cell: 7.315 7.315 3.156 Å, 77.46 77.46 19.78°
Positions (direct):
Cu 0.695 0.695 0.305
Cu 0.305 0.305 0.695
C 0.398 0.398 0.100
C 0.949 0.949 0.051
C 0.051 0.051 0.949
C 0.602 0.602 0.900

## Properties
The calculation puts the density of states at the Fermi level at 0.63 states/eV/f.u. As for the space group: No. 12. Its energy above the lowest structure with this stoichiometry is 1.01 eV per formula unit. The value obtained for the mass density is 5.22 g/cm3. Its total energy is -0.5104 Ry per atom.

=====

So what do the calculations give for energy relative to the elements? Going down the list: 0.9850; 1.6169; 0.2339; 1.0202; 1.3923; 0.5702 eV per atom.